Record 1
{"formula": "BaW2Au", "functional": "PBE", "state": "optimized geometry", "delta_e_f_ev_per_atom": 1.658, "spacegroup": "No. 225", "polymorph_energy_mev_per_atom": 1144, "dft_energy_ev_per_atom": -6.1188, "cell": [[0.000, 3.405, 3.405], [3.405, 0.000, 3.405], [3.405, 3.405, 0.000]], "species": ["Ba", "W", "W", "Au"], "fractional_positions": [[0.000, 0.000, 0.000], [0.250, 0.250, 0.250], [0.750, 0.750, 0.750], [0.500, 0.500, 0.500]]}

Record 2
{"formula": "NbPAuCl2", "functional": "PBE", "state": "optimized geometry", "spacegroup": "No. 123", "polymorph_energy_mev_per_atom": 878, "dft_energy_ev_per_atom": -3.6030, "cell": [[4.857, 0.000, 0.000], [0.000, 4.857, 0.000], [0.000, 0.000, 5.032]], "species": ["Nb", "P", "Au", "Cl", "Cl"], "fractional_positions": [[0.000, 0.000, 0.000], [0.500, 0.500, 0.000], [0.500, 0.500, 0.500], [0.000, 0.500, 0.500], [0.500, 0.000, 0.500]]}

Record 3
{"formula": "Tc2NiHgN", "functional": "PBE", "state": "optimized geometry", "spacegroup": "No. 123", "dft_energy_ev_per_atom": -6.7833, "cell": [[4.083, 0.000, 0.000], [0.000, 4.083, 0.000], [0.000, 0.000, 4.025]], "species": ["Tc", "Tc", "Ni", "Hg", "N"], "fractional_positions": [[0.000, 0.500, 0.000], [0.500, 0.000, 0.000], [0.000, 0.000, 0.500], [0.500, 0.500, 0.500], [0.000, 0.000, 0.000]]}

Record 4
{"formula": "Y2PdO", "functional": "PBE", "state": "optimized geometry", "spacegroup": "No. 122", "dft_energy_ev_per_atom": -7.4858, "cell": [[-3.227, 3.227, 4.186], [3.227, -3.227, 4.186], [3.227, 3.227, -4.186]], "species": ["Y", "Y", "Y", "Y", "Pd", "Pd", "O", "O"], "fractional_positions": [[0.055, 0.125, 0.430], [0.375, 0.945, 0.070], [0.695, 0.625, 0.570], [0.875, 0.305, 0.930], [0.250, 0.750, 0.500], [0.500, 0.500, 0.000], [0.000, 0.000, 0.000], [0.750, 0.250, 0.500]]}

- What is the formula in the fourth record?
  Y2PdO

- Number 4 is which compound?
  Y2PdO